A plane-wave DFT calculation with PBE-GGA was carried out for a geometry-optimized Rb2CrI structure.

a = 8.5791 Å, b = 8.5791 Å, c = 8.5791 Å
α = 110.81°, β = 110.81°, γ = 106.83°
Positions (direct):
1 Rb 0.1093 0.6250 0.9843
2 Rb 0.3750 0.3593 0.4843
3 Rb 0.6407 0.1250 0.0157
4 Rb 0.8750 0.8907 0.5157
5 Cr 0.2500 0.7500 0.5000
6 Cr 0.5000 0.5000 0.0000
7 I 0.0000 0.0000 0.0000
8 I 0.7500 0.2500 0.5000

Computed properties:
- formation energy (no corrections) (kJ/mol of atoms) = 7.5
- calculated total energy (eV per atom) = -3.1995
- energy above the lowest structure with this stoichiometry (kJ per mole of atoms) = 4.3